TlBi2O2 | PBE | relaxed

The calculation puts the formation energy from raw total energies at -0.3770 eV per atom. The value obtained for the electronic total energy is -4.386 eV/atom. The value obtained for the energy above the most stable polymorph in this dataset is 60 meV per atom.

Lattice parameters (Å, degrees): 8.0438 8.0438 3.7452 90.00 90.00 90.00
With the nearest neighbours (Å) after each atom.
Space group P4/mbm (No. 127)
One atom of each set of equivalent atoms:
Tl (0.0000, 0.0000, 0.0000) [2 per cell]  4 O 2.93
Bi (0.2064, 0.2936, 0.5000) [4 per cell]  2 O 2.23
O (0.1866, 0.6866, 0.0000) [4 per cell]  2 Bi 2.23

=====

TlBi6O8 | PBE | relaxed

The calculation puts the formation energy from raw total energies at -0.8959 eV per atom. The value obtained for the electronic total energy is -5.250 eV/atom.

Lattice parameters (Å, degrees): 7.0514 7.0514 20.0042 90.00 90.00 120.00
With the nearest neighbours (Å) after each atom.
Space group R-3 (No. 148, hexagonal axes)
One atom of each set of equivalent atoms:
Tl (0.0000, 0.0000, 0.0000) [3 per cell]  6 O 3.25, 6 Bi 3.34
Bi (0.0075, 0.3979, 0.0927) [18 per cell]  4 O 2.24-2.39
O (0.0000, 0.0000, 0.3838) [6 per cell]  3 Bi 2.29
O (0.0226, 0.6132, 0.7937) [18 per cell]  3 Bi 2.24-2.39

=====

Tl2Bi2O5 | PBE | relaxed

The calculation puts the formation energy from raw total energies at -0.7837 eV per atom. The value obtained for the electronic total energy is -4.927 eV/atom.

Lattice parameters (Å, degrees): 15.6282 3.5845 6.1446 90.00 93.43 90.00
With the nearest neighbours (Å) after each atom.
Space group C2/m (No. 12)
One atom of each set of equivalent atoms:
Tl (0.1795, 0.0000, 0.2971) [4 per cell]  4 O 2.32-2.45
Bi (0.0616, 0.5000, 0.7513) [4 per cell]  3 O 2.17-2.29
O (0.0000, 0.0000, 0.5000) [2 per cell]  4 Bi 2.52
O (0.1175, 0.0000, 0.9444) [4 per cell]  2 Bi 2.29, 1 Tl 2.32
O (0.1715, 0.5000, 0.5530) [4 per cell]  1 Bi 2.17, 2 Tl 2.39

=====

TlBiO3 | PBE | relaxed

The calculation puts the formation energy from raw total energies at -0.2570 eV per atom. The value obtained for the electronic total energy is -4.481 eV/atom.

Lattice parameters (Å, degrees): 4.2530 4.2530 4.2530 90.00 90.00 90.00
With the nearest neighbours (Å) after each atom.
Space group Pm-3m (No. 221)
One atom of each set of equivalent atoms:
Tl (0.0000, 0.0000, 0.0000) [1 per cell]  6 O 2.13
Bi (0.5000, 0.5000, 0.5000) [1 per cell]  12 O 3.01
O (0.0000, 0.0000, 0.5000) [3 per cell]  2 Tl 2.13